Computed, not measured: crystalline ZrCoBIr2 at its relaxed geometry at the PBE level of DFT.

## Properties
The density of states at the Fermi level is 1.4 states/eV/cell. For the calculated formation energy, the calculation gives -2.69 eV/f.u. For the total magnetization, the calculation gives 0.000 μB/cell. The symmetry is P4/mmm (123).

Geometry as CIF:
```
data_ZrCoBIr2
_symmetry_space_group_name_H-M 'P 1'
_symmetry_Int_Tables_number 1
_cell_length_a 4.144
_cell_length_b 4.144
_cell_length_c 3.994
_cell_angle_alpha 90.00
_cell_angle_beta 90.00
_cell_angle_gamma 90.00
loop_
_symmetry_equiv_pos_as_xyz
'x,y,z'
loop_
_atom_site_label
_atom_site_type_symbol
_atom_site_fract_x
_atom_site_fract_y
_atom_site_fract_z
_atom_site_occupancy
Co1 Co 0.000 0.000 0.500 1
Ir1 Ir 0.500 0.000 0.000 1
Ir2 Ir 0.000 0.500 0.000 1
Zr1 Zr 0.500 0.500 0.500 1
B1 B 0.000 0.000 0.000 1
```